Record 1
Computed, not measured: a relaxed structure of AcPd4Au8 at the PBE-GGA level of DFT.

For the theoretical density, the calculation gives 14.9 Mg/m³. As for the energy: -55.37 eV/f.u. The value obtained for the calculated volume is 496 Å³ per cell. The calculation puts the energy relative to the elements at -7.6 kcal/mol of atoms.

The structure belongs to space group I4/mmm (No. 139); the cell edges are 9.3560, 9.3560 and 5.6683 Å and the angles 90.00°, 90.00° and 90.00°. The asymmetric unit holds Ac at (0.0000, 0.0000, 0.0000), Pd at (0.2500, 0.2500, 0.2500), Au at (0.0000, 0.2194, 0.5000) and Au at (0.0000, 0.3432, 0.0000).

---

Record 2
Computed, not measured: a relaxed structure of AcPd2Au10 at the PBE-GGA level of DFT.

For the theoretical density, the calculation gives 15.7 Mg/m³. As for the energy: -51.01 eV/f.u. The value obtained for the calculated volume is 1019 Å³ per cell. The calculation puts the energy relative to the elements at -6.6 kcal/mol of atoms.

The structure belongs to space group Fmmm (No. 69); the cell edges are 5.6752, 13.2216 and 13.5822 Å and the angles 90.00°, 90.00° and 90.00°. The asymmetric unit holds Ac at (0.0000, 0.0000, 0.0000), Pd at (0.2500, 0.2500, 0.0000), Au at (0.0000, 0.1094, 0.3930), Au at (0.0000, 0.1773, 0.1693) and Au at (0.2500, 0.0000, 0.2500).

---

Record 3
Computed, not measured: a relaxed structure of Ac6Pd5Au at the PBE-GGA level of DFT.

For the theoretical density, the calculation gives 9.3 Mg/m³. As for the energy: -63.35 eV/f.u. The value obtained for the calculated volume is 744 Å³ per cell. The calculation puts the energy relative to the elements at -18.2 kcal/mol of atoms.

The structure belongs to space group C2/m (No. 12); the cell edges are 7.6914, 13.3010 and 7.7099 Å and the angles 90.00°, 109.39° and 90.00°. The asymmetric unit holds Ac at (0.2424, 0.0000, 0.2527), Ac at (0.2443, 0.1708, 0.7451), Pd at (0.0000, 0.0000, 0.5000), Pd at (0.0000, 0.1671, 0.0000), Pd at (0.0000, 0.3365, 0.5000) and Au at (0.0000, 0.5000, 0.0000).

---

Record 4
Computed, not measured: a relaxed structure of Ac2Pd6Au9 at the PBE-GGA level of DFT.

For the theoretical density, the calculation gives 12.8 Mg/m³. As for the energy: -75.42 eV/f.u. The value obtained for the calculated volume is 370 Å³ per cell. The calculation puts the energy relative to the elements at -8.9 kcal/mol of atoms.

The structure belongs to space group P6/mmm (No. 191); the cell edges are 5.5888, 5.5888 and 13.6944 Å and the angles 90.00°, 90.00° and 120.00°. The asymmetric unit holds Ac at (0.0000, 0.0000, 0.1811), Pd at (0.3333, 0.6667, 0.1678), Pd at (0.3333, 0.6667, 0.5000), Au at (0.0000, 0.5000, 0.0000) and Au at (0.0000, 0.5000, 0.3362).

---

calculated volume of number 4 (Ac2Pd6Au9)?
370 Å³ per cell

---

Which formula does entry 2 have?
AcPd2Au10

---

Among the records above, which one has the highest calculated volume?
AcPd2Au10

---

Number 4 is which compound?
Ac2Pd6Au9